Density functional theory data (meta-GGA SCAN) for a crystal of Ag2BrCl relaxed with PBEsol.

Cell: 3.9369 3.9369 19.0768 Å, 90.00 90.00 120.00°
With the nearest neighbours (Å) after each atom.
Space group R-3m (No. 166, hexagonal axes)
Inequivalent atoms, fractional coordinates:
Ag: 0.0000 0.0000 0.2465 x6  3 Cl 2.74, 3 Br 2.81
Br: 0.0000 0.0000 0.0000 x3  6 Ag 2.81
Cl: 0.0000 0.0000 0.5000 x3  6 Ag 2.74

- Energy above the most stable polymorph in this dataset: 0.0000 eV per atom

---

Density functional theory data (meta-GGA SCAN) for a crystal of SrAl2W2 relaxed with PBEsol.

Cell: 4.9114 4.9114 8.6868 Å, 90.00 90.00 90.00°
With the nearest neighbours (Å) after each atom.
Space group I4/mmm (No. 139)
Inequivalent atoms, fractional coordinates:
Sr: 0.0000 0.0000 0.0000 x2  2 W 3.15, 8 Al 3.28
Al: 0.0000 0.5000 0.2500 x4  4 W 2.64
W: 0.0000 0.0000 0.3630 x4  1 W 2.38, 4 Al 2.64

- Formation energy: 559 meV per atom
- Density of states at the Fermi level: 0.36 states/eV/atom

---

Density functional theory data (meta-GGA SCAN) for a crystal of Nb3Cu2S6 relaxed with PBEsol.

Cell: 3.3382 3.3382 38.7631 Å, 90.00 90.00 120.00°
With the nearest neighbours (Å) after each atom.
Space group P3m1 (No. 156)
Inequivalent atoms, fractional coordinates:
Nb: 0.0000 0.0000 0.0000 x1  6 S 2.46-2.51
Nb: 0.0000 0.0000 0.3255 x1  6 S 2.47-2.49
Nb: 0.0000 0.0000 0.6741 x1  6 S 2.46-2.51
Nb: 0.3333 0.6667 0.1696 x1  6 S 2.46-2.48
Nb: 0.3333 0.6667 0.5166 x1  6 S 2.47-2.50
Nb: 0.3333 0.6667 0.8438 x1  6 S 2.46-2.48
Cu: 0.0000 0.0000 0.0733 x1  4 S 2.17-2.29
Cu: 0.0000 0.0000 0.4001 x1  3 S 2.33, 3 Cu 2.52
Cu: 0.0000 0.0000 0.7475 x1  4 S 2.17-2.29
Cu: 0.3333 0.6667 0.4418 x1  3 S 2.33, 3 Cu 2.52
S: 0.0000 0.0000 0.1293 x1  1 Cu 2.17
S: 0.0000 0.0000 0.2089 x1  3 Nb 2.46
S: 0.0000 0.0000 0.4757 x1  3 Cu 2.33, 3 Nb 2.50
S: 0.0000 0.0000 0.5564 x1  3 Nb 2.47
S: 0.0000 0.0000 0.8035 x1  1 Cu 2.17
S: 0.0000 0.0000 0.8831 x1  3 Nb 2.46
S: 0.3333 0.6667 0.0413 x1  3 Cu 2.29, 3 Nb 2.51
S: 0.3333 0.6667 0.2856 x1  3 Nb 2.47
S: 0.3333 0.6667 0.3663 x1  3 Cu 2.33, 3 Nb 2.49
S: 0.3333 0.6667 0.6346 x1  3 Nb 2.46
S: 0.3333 0.6667 0.7155 x1  3 Cu 2.29, 3 Nb 2.51
S: 0.3333 0.6667 0.9604 x1  3 Nb 2.46

- Final energy: -17.982 eV/atom
- Density of states at the Fermi level: 0.35 states/eV/atom

---

Density functional theory data (meta-GGA SCAN) for a crystal of Ta2NbGe2 relaxed with PBEsol.

Cell: 6.8170 6.8170 3.5188 Å, 90.00 90.00 90.00°
With the nearest neighbours (Å) after each atom.
Space group P4/mbm (No. 127)
Inequivalent atoms, fractional coordinates:
Ta: 0.1648 0.3352 0.0000 x4  6 Ge 2.61-2.70
Nb: 0.0000 0.0000 0.5000 x2  4 Ge 2.65
Ge: 0.1348 0.6348 0.5000 x4  1 Ge 2.60, 6 Ta 2.61-2.70, 2 Nb 2.65

- Formation energy: -390 meV per atom
- Density of states at the Fermi level: 0.60 states/eV/atom

---

Density functional theory data (meta-GGA SCAN) for a crystal of Fe4ReRu relaxed with PBEsol.

Cell: 6.4891 6.4891 6.4891 Å, 90.00 90.00 90.00°
With the nearest neighbours (Å) after each atom.
Space group F-43m (No. 216)
Inequivalent atoms, fractional coordinates:
Fe: 0.1243 0.1243 0.1243 x16  6 Fe 2.28-2.31
Re: 0.0000 0.0000 0.5000 x4  12 Fe 2.69, 4 Ru 2.81
Ru: 0.2500 0.2500 0.7500 x4  12 Fe 2.69, 4 Re 2.81

- Formation energy: 106 meV per atom
- Density of states at the Fermi level: 0.76 states/eV/atom

---

Density functional theory data (meta-GGA SCAN) for a crystal of Zr2ZnIn relaxed with PBEsol.

Cell: 3.1167 4.9751 5.0687 Å, 90.00 90.50 90.00°
With the nearest neighbours (Å) after each atom.
Space group Pm (No. 6)
Inequivalent atoms, fractional coordinates:
Zr: 0.0000 0.0000 0.0000 x1  4 Zn 2.94-2.99, 4 In 2.97-3.00, 4 Zr 3.12-3.20
Zr: 0.0199 0.5000 0.6034 x1  4 In 2.94-3.03, 4 Zn 2.96-3.00, 4 Zr 3.12-3.20
Zn: 0.5074 0.0000 0.5029 x1  8 Zr 2.94-3.00, 2 Zn 3.12, 2 In 3.18
In: 0.5115 0.5000 0.1107 x1  8 Zr 2.94-3.03, 2 In 3.12, 2 Zn 3.18

- Formation energy: -316 meV per atom
- Density of states at the Fermi level: 0.51 states/eV/atom

---

Density functional theory data (meta-GGA SCAN) for a crystal of BaSrLa2 relaxed with PBEsol.

Cell: 5.5710 5.5710 10.7180 Å, 90.00 90.00 90.00°
With the nearest neighbours (Å) after each atom.
Space group I-4m2 (No. 119)
Inequivalent atoms, fractional coordinates:
Ba: 0.0000 0.0000 0.0000 x2  8 La 3.87-3.94, 4 Sr 3.87
Sr: 0.0000 0.5000 0.7500 x2  4 Ba 3.87, 8 La 3.87-3.94
La: 0.0000 0.0000 0.5000 x2  4 La 3.87, 4 Sr 3.87, 4 Ba 3.94
La: 0.0000 0.5000 0.2500 x2  4 Ba 3.87, 4 La 3.87, 4 Sr 3.94

- Formation energy: 238 meV per atom
- Energy above the most stable polymorph in this dataset: 0.1483 eV per atom
- Density of states at the Fermi level: 1.65 states/eV/atom

---

Density functional theory data (meta-GGA SCAN) for a crystal of YZnRe2 relaxed with PBEsol.

Cell: 3.8619 3.8619 4.4796 Å, 90.00 90.00 90.00°
With the nearest neighbours (Å) after each atom.
Space group P4/mmm (No. 123)
Inequivalent atoms, fractional coordinates:
Y: 0.0000 0.0000 0.0000 x1  4 Zn 2.73, 8 Re 2.96
Zn: 0.5000 0.5000 0.0000 x1  4 Y 2.73, 8 Re 2.96
Re: 0.0000 0.5000 0.5000 x2  4 Re 2.73, 4 Zn 2.96, 4 Y 2.96

- Formation energy: 325 meV per atom
- Density of states at the Fermi level: 0.81 states/eV/atom

---

Density functional theory data (meta-GGA SCAN) for a crystal of NiAgAu2 relaxed with PBEsol.

Cell: 9.3086 2.8252 4.7551 Å, 90.00 102.74 90.00°
With the nearest neighbours (Å) after each atom.
Space group Cm (No. 8)
Inequivalent atoms, fractional coordinates:
Ni: 0.0000 0.0000 0.0000 x2  7 Au 2.65-2.87, 3 Ag 2.71-2.92, 2 Ni 2.83
Ag: 0.2580 0.0000 0.7465 x2  3 Ni 2.71-2.92, 7 Au 2.72-2.82, 2 Ag 2.83
Au: 0.2382 0.5000 0.2262 x2  3 Ni 2.65-2.87, 4 Ag 2.72-2.82, 5 Au 2.81-2.86
Au: 0.4985 0.0000 0.4978 x2  3 Ag 2.75-2.82, 4 Ni 2.76-2.77, 5 Au 2.81-2.86

- Formation energy: 90 meV per atom
- Energy above the most stable polymorph in this dataset: 0.0804 eV per atom
- Density of states at the Fermi level: 0.57 states/eV/atom

---

Density functional theory data (meta-GGA SCAN) for a crystal of Al3TcW relaxed with PBEsol.

Cell: 4.5292 4.5292 4.5292 Å, 90.00 90.00 90.00°
With the nearest neighbours (Å) after each atom.
Space group Pm-3m (No. 221)
Inequivalent atoms, fractional coordinates:
Al: 0.0000 0.0000 0.5000 x3  2 Tc 2.26
Tc: 0.0000 0.0000 0.0000 x1  6 Al 2.26
W: 0.5000 0.5000 0.5000 x1  12 Al 3.20

- Formation energy: 1041 meV per atom
- Density of states at the Fermi level: 0.65 states/eV/atom

---

Density functional theory data (meta-GGA SCAN) for a crystal of CdNi2As relaxed with PBEsol.

Cell: 6.0296 6.0296 6.0296 Å, 90.00 90.00 90.00°
With the nearest neighbours (Å) after each atom.
Space group Fm-3m (No. 225)
Inequivalent atoms, fractional coordinates:
Cd: 0.0000 0.0000 0.0000 x4  8 Ni 2.61
Ni: 0.2500 0.2500 0.2500 x8  4 Cd 2.61, 4 As 2.61
As: 0.0000 0.0000 0.5000 x4  8 Ni 2.61

- Formation energy: 88 meV per atom
- Energy above the most stable polymorph in this dataset: 0.0538 eV per atom
- Density of states at the Fermi level: 0.54 states/eV/atom

---

Density functional theory data (meta-GGA SCAN) for a crystal of TeMo2Cl relaxed with PBEsol.

Cell: 3.1013 5.4240 8.3936 Å, 90.00 90.00 90.00°
With the nearest neighbours (Å) after each atom.
Space group Cmmm (No. 65)
Inequivalent atoms, fractional coordinates:
Te: 0.0000 0.0000 0.0000 x2  4 Mo 2.65
Mo: 0.0000 0.5000 0.2557 x4  2 Cl 2.57, 2 Te 2.65
Cl: 0.0000 0.0000 0.5000 x2  4 Mo 2.57

- Final energy: -27.901 eV/atom
- Density of states at the Fermi level: 1.13 states/eV/atom